The following is a DFT calculation (PBE-GGA) of crystalline NbTc2Au at its relaxed geometry.

Properties
Crystal system: cubic
Formation enthalpy at 0 K (eV per atom): 0.2826
SG: F-43m, No. 216
Calculated density (g/cm³): 12.41

abc: 4.5135 4.5135 4.5135
angles: 60.00 60.00 60.00
Closest atoms and distances in Å follow each position.
Sites, in units of the cell vectors:
Tc 0.2500 0.2500 0.2500  4 Tc 2.76, 4 Au 2.76
Nb 0.7500 0.7500 0.7500  4 Au 2.76, 4 Tc 2.76
Au 0.5000 0.5000 0.5000  4 Tc 2.76, 4 Nb 2.76
Tc 0.0000 0.0000 0.0000  4 Tc 2.76, 4 Nb 2.76